Computed, not measured: a relaxed structure of BaBi2Pb4 at the GGA-PBE level of DFT.

As for the volume: 244 Å³ per cell. The value obtained for the density of states at the Fermi level is 0.61 states/eV per atom. The energy relative to the elements is -0.210 eV per atom. As for the size of the total moment: 0.00 Bohr magnetons per cell.

The space group is P-1 (No. 2) and the conventional cell measures 5.5162, 5.6011 and 9.1495 Å, with angles of 102.00, 97.13 and 114.78 degrees. Symmetry generates all atoms from Ba at (0.0000, 0.0000, 0.0000), Bi at (0.2619, 0.5539, 0.8119), Pb at (0.1518, 0.2914, 0.4449) and Pb at (0.4431, 0.8495, 0.2970).